RbGaSi: relaxed, PBE-GGA.

Results
electronic total energy	-3.141	eV/atom
density of states at the Fermi level	0.37	states/eV/atom

Cell lengths 4.075, 6.057, 7.610 Å; angles 93.80, 105.42, 109.56 degrees
Element x y z (fractional)
Rb: 0.000 0.000 0.000
Rb: 0.435 0.573 0.293
Ga: 0.144 0.595 0.689
Ga: 0.612 0.402 0.818
Si: 0.300 0.002 0.599
Si: 0.833 0.178 0.490